Entry from the Open Quantum Materials Database: a relaxed structure of AlNi3 (GGA-PBE).

Calculated values
Calculated total energy ... -5.52 eV per atom

a b c (Å): 3.6290 3.6290 6.8487
angles (deg): 90.00 90.00 90.00
Closest atoms and distances in Å follow each position.
Space group I4/mmm (No. 139)
Asymmetric unit:
Al  0.0000  0.0000  0.0000 x2  12 Ni 2.49-2.57
Ni  0.0000  0.0000  0.5000 x2  8 Ni 2.49, 4 Al 2.57
Ni  0.0000  0.5000  0.2500 x4  8 Ni 2.49-2.57, 4 Al 2.49

***

Entry from the Open Quantum Materials Database: a relaxed structure of Er6AlPd2 (GGA-PBE).

Calculated values
Calculated total energy ... -5.15 eV per atom

a b c (Å): 9.3453 9.5359 10.2285
angles (deg): 90.00 90.00 90.00
Closest atoms and distances in Å follow each position.
Space group Immm (No. 71)
Asymmetric unit:
Er  0.0000  0.1941  0.2390 x8  1 Pd 2.81, 1 Al 3.07
Er  0.2029  0.5000  0.1717 x8  3 Pd 2.75-3.00
Er  0.2155  0.3189  0.5000 x8  3 Pd 2.98-3.06, 1 Al 3.17
Al  0.0000  0.0000  0.0000 x2  8 Er 3.07-3.17, 2 Pd 3.24
Al  0.0000  0.0000  0.5000 x2  8 Er 3.25-3.29
Pd  0.0000  0.3399  0.0000 x4  8 Er 2.81-3.06, 1 Pd 3.05
Pd  0.0000  0.5000  0.3662 x4  1 Pd 2.74, 6 Er 2.75-2.98

***

Entry from the Open Quantum Materials Database: a relaxed structure of Nd2Cd (GGA-PBE).

Calculated values
Offset from the most stable computed form ... 0.325 eV per atom
Formation energy ... 0.734 eV per formula unit
Calculated total energy ... -3.23 eV per atom

a b c (Å): 9.0866 9.0866 9.0866
angles (deg): 90.00 90.00 90.00
Closest atoms and distances in Å follow each position.
Space group Fd-3m (No. 227, origin choice 2)
Asymmetric unit:
Nd  0.0000  0.0000  0.0000 x16  6 Nd 3.21
Cd  0.1250  0.1250  0.6250 x8  12 Nd 3.77, 4 Cd 3.93

***

Entry from the Open Quantum Materials Database: a relaxed structure of Co7Re5 (GGA-PBE).

Calculated values
Offset from the most stable computed form ... 0.000 eV per atom
Formation energy ... 4.036 eV per formula unit
Calculated total energy ... -8.99 eV per atom

a b c (Å): 4.9307 4.9307 15.0105
angles (deg): 90.00 90.00 120.00
Closest atoms and distances in Å follow each position.
Space group P6_3/mmc (No. 194)
Asymmetric unit:
Co  0.1550  0.3100  0.2500 x6  4 Co 2.28-2.29
Co  0.3333  0.6667  0.1367 x4  3 Co 2.28, 3 Re 2.50
Co  0.3333  0.6667  0.6595 x4  10 Co 2.72-2.87, 6 Re 2.79-3.02
Re  0.0000  0.0000  0.0918 x4  9 Co 2.72-3.02, 7 Re 2.76-2.82
Re  0.0000  0.5000  0.0000 x6  4 Re 2.47, 2 Co 2.50

***

Entry from the Open Quantum Materials Database: a relaxed structure of ZnCdCoTc (GGA-PBE).

Calculated values
Offset from the most stable computed form ... 0.000 eV per atom
Formation energy ... 1.636 eV per formula unit
Calculated total energy ... -4.50 eV per atom

a b c (Å): 6.1938 6.1938 6.1938
angles (deg): 90.00 90.00 90.00
Closest atoms and distances in Å follow each position.
Space group F-43m (No. 216)
Asymmetric unit:
Zn  0.0000  0.0000  0.0000 x4  4 Co 2.68, 4 Cd 2.68
Cd  0.2500  0.2500  0.7500 x4  4 Tc 2.68, 4 Zn 2.68
Co  0.2500  0.2500  0.2500 x4  4 Tc 2.68, 4 Zn 2.68
Tc  0.0000  0.0000  0.5000 x4  4 Cd 2.68, 4 Co 2.68

***

Entry from the Open Quantum Materials Database: a relaxed structure of LiScAsAu (GGA-PBE).

Calculated values
Offset from the most stable computed form ... 0.000 eV per atom
Calculated total energy ... -4.81 eV per atom

a b c (Å): 6.5934 6.5934 6.5934
angles (deg): 90.00 90.00 90.00
Closest atoms and distances in Å follow each position.
Space group F-43m (No. 216)
Asymmetric unit:
Li  0.0000  0.0000  0.0000 x4  4 Au 2.86, 4 As 2.86
Sc  0.0000  0.0000  0.5000 x4  4 As 2.86, 4 Au 2.86
As  0.2500  0.2500  0.2500 x4  4 Li 2.86, 4 Sc 2.86
Au  0.2500  0.2500  0.7500 x4  4 Li 2.86, 4 Sc 2.86